Entry 1:
Computed, not measured: a relaxed InGaSi3 crystal at the PBE-GGA level of DFT.

Output
As for the total DFT energy (no corrections): -0.13029 hartree per atom. For the total magnetic moment, the calculation gives 0.000 μB per formula unit. The uncorrected formation energy comes out at 83 kJ/mol of atoms. The energy above the most stable polymorph in this dataset comes out at 0 meV per atom.

Lattice parameters (Å, degrees): 4.827 4.827 4.827 90.00 90.00 90.00
Element x y z (fractional)
In  0.000  0.000  0.000
Ga  0.500  0.500  0.500
Si  0.000  0.500  0.500
Si  0.500  0.000  0.500
Si  0.500  0.500  0.000



Entry 2:
Computed, not measured: a relaxed YCoTeN2 crystal at the PBE-GGA level of DFT.

Output
As for the total DFT energy (no corrections): -0.22592 hartree per atom. For the total magnetic moment, the calculation gives 2.715 μB per formula unit. The uncorrected formation energy comes out at 51 kJ/mol of atoms. The energy above the most stable polymorph in this dataset comes out at 0 meV per atom.

Lattice parameters (Å, degrees): 4.039 4.039 5.007 90.00 90.00 90.00
Element x y z (fractional)
Y  0.000  0.000  0.000
Co  0.500  0.500  0.500
Te  0.500  0.500  0.000
N  0.000  0.500  0.500
N  0.500  0.000  0.500



Entry 3:
Computed, not measured: a relaxed Na3Tb3CrS8 crystal at the PBE-GGA level of DFT.

Output
As for the total DFT energy (no corrections): -0.20362 hartree per atom. For the total magnetic moment, the calculation gives 2.014 μB per formula unit. The uncorrected formation energy comes out at -145 kJ/mol of atoms.

Lattice parameters (Å, degrees): 8.128 8.128 8.128 56.99 56.99 56.99
Element x y z (fractional)
Na  0.000  0.500  0.500
Na  0.500  0.000  0.500
Na  0.500  0.500  0.000
Tb  0.000  0.000  0.500
Tb  0.000  0.500  0.000
Tb  0.500  0.000  0.000
Cr  0.500  0.500  0.500
S  0.243  0.243  0.243
S  0.270  0.719  0.719
S  0.281  0.281  0.730
S  0.281  0.730  0.281
S  0.719  0.270  0.719
S  0.719  0.719  0.270
S  0.730  0.281  0.281
S  0.757  0.757  0.757



Entry 4:
Computed, not measured: a relaxed NaMgRhCl6 crystal at the PBE-GGA level of DFT.

Output
As for the total DFT energy (no corrections): -0.13437 hartree per atom. For the total magnetic moment, the calculation gives 0.000 μB per formula unit. The uncorrected formation energy comes out at -124 kJ/mol of atoms.

Lattice parameters (Å, degrees): 6.317 6.317 12.420 90.00 90.00 120.00
Element x y z (fractional)
Na  0.000  0.000  0.000
Na  0.000  0.000  0.500
Mg  0.333  0.667  0.250
Mg  0.667  0.333  0.750
Rh  0.333  0.667  0.750
Rh  0.667  0.333  0.250
Cl  0.017  0.370  0.640
Cl  0.017  0.647  0.860
Cl  0.353  0.370  0.860
Cl  0.353  0.983  0.640
Cl  0.370  0.017  0.140
Cl  0.370  0.353  0.360
Cl  0.630  0.647  0.640
Cl  0.630  0.983  0.860
Cl  0.647  0.017  0.360
Cl  0.647  0.630  0.140
Cl  0.983  0.353  0.140
Cl  0.983  0.630  0.360



Entry 5:
Computed, not measured: a relaxed TmMg2Pd9 crystal at the PBE-GGA level of DFT.

Output
As for the total DFT energy (no corrections): -0.18905 hartree per atom. For the total magnetic moment, the calculation gives 0.000 μB per formula unit. As for the formation energy: -0.611 eV/atom.

Lattice parameters (Å, degrees): 4.031 4.031 11.936 90.00 90.00 90.00
Element x y z (fractional)
Tm  0.000  0.000  0.000
Mg  0.000  0.000  0.338
Mg  0.000  0.000  0.662
Pd  0.000  0.500  0.174
Pd  0.000  0.500  0.500
Pd  0.000  0.500  0.826
Pd  0.500  0.000  0.174
Pd  0.500  0.000  0.500
Pd  0.500  0.000  0.826
Pd  0.500  0.500  0.000
Pd  0.500  0.500  0.337
Pd  0.500  0.500  0.663



Entry 6:
Computed, not measured: a relaxed PmNd2H8 crystal at the PBE-GGA level of DFT.

Output
As for the total DFT energy (no corrections): -0.15891 hartree per atom. For the total magnetic moment, the calculation gives 0.000 μB per formula unit.

Lattice parameters (Å, degrees): 6.616 6.616 6.616 146.37 132.15 59.76
Element x y z (fractional)
Pm  0.000  0.000  0.000
Nd  0.331  0.331  0.000
Nd  0.669  0.669  0.000
H  0.100  0.841  0.260
H  0.160  0.660  0.500
H  0.267  0.500  0.767
H  0.419  0.159  0.260
H  0.581  0.841  0.740
H  0.733  0.500  0.233
H  0.840  0.340  0.500
H  0.900  0.159  0.740



Entry 7:
Computed, not measured: a relaxed ThCuNiRh crystal at the PBE-GGA level of DFT.

Output
As for the total DFT energy (no corrections): -0.23775 hartree per atom. For the total magnetic moment, the calculation gives 0.000 μB per formula unit. As for the formation energy: -0.307 eV/atom.

Lattice parameters (Å, degrees): 4.618 4.618 4.618 60.00 60.00 60.00
Element x y z (fractional)
Th  0.000  0.000  0.000
Cu  0.500  0.500  0.500
Ni  0.750  0.750  0.750
Rh  0.250  0.250  0.250



Entry 8:
Computed, not measured: a relaxed Cr4PCl crystal at the PBE-GGA level of DFT.

Output
As for the total DFT energy (no corrections): -0.25031 hartree per atom. For the total magnetic moment, the calculation gives 0.000 μB per formula unit. The uncorrected formation energy comes out at 79 kJ/mol of atoms.

Lattice parameters (Å, degrees): 4.804 4.804 4.804 60.00 60.00 60.00
Element x y z (fractional)
Cr  0.123  0.123  0.123
Cr  0.123  0.123  0.632
Cr  0.123  0.632  0.123
Cr  0.632  0.123  0.123
P  0.500  0.500  0.500
Cl  0.750  0.750  0.750